1:
Material: BaZnB3
Method: DFT, PBE-GGA
State: relaxed

## Properties
crystal system	cubic
total magnetization	0.00	μB per formula unit

Geometry as extended XYZ:
```
5
Lattice="4.3830 0.0000 0.0000 0.0000 4.3830 0.0000 0.0000 0.0000 4.3830" Properties=species:S:1:pos:R:3 pbc="T T T"
Ba 2.1915 2.1915 2.1915
B 2.1915 0.0000 0.0000
B 0.0000 0.0000 2.1915
B 0.0000 2.1915 0.0000
Zn 0.0000 0.0000 0.0000
```

***

2:
Material: BaZnB3
Method: DFT, PBE-GGA
State: relaxed

## Properties
crystal system	cubic
total magnetization	0.00	μB per formula unit

Geometry as extended XYZ:
```
5
Lattice="5.0988 0.0000 0.0000 0.0000 5.0988 0.0000 0.0000 0.0000 5.0988" Properties=species:S:1:pos:R:3 pbc="T T T"
Ba 0.0000 0.0000 0.0000
B 0.0000 2.5494 0.0000
Zn 2.5494 2.5494 2.5494
B 2.5494 0.0000 0.0000
B 0.0000 0.0000 2.5494
```

***

Here is how they stack up, most stable first: 1, 2.

***

1:
Material: BaZrB3
Method: DFT, PBE-GGA
State: relaxed

## Properties
crystal system	cubic
total magnetization	0.00	μB per formula unit

Geometry as extended XYZ:
```
5
Lattice="-0.2520 -1.0991 4.4351 4.5159 -0.7364 0.0742 0.6959 4.3808 1.1252" Properties=species:S:1:pos:R:3 pbc="T T T"
Zr 2.4799 1.2726 2.8172
B -0.1260 -0.5495 2.2175
B 2.2580 -0.3682 0.0371
B 0.3479 2.1904 0.5626
Ba 0.0000 0.0000 0.0000
```

***

2:
Material: BaZrB3
Method: DFT, PBE-GGA
State: relaxed

## Properties
crystal system	cubic
total magnetization	0.00	μB per formula unit

Geometry as extended XYZ:
```
5
Lattice="4.6591 0.0000 0.0000 0.0000 4.6591 0.0000 0.0000 0.0000 4.6591" Properties=species:S:1:pos:R:3 pbc="T T T"
Ba 2.3295 2.3295 2.3295
Zr 0.0000 0.0000 0.0000
B 2.3295 0.0000 0.0000
B 0.0000 0.0000 2.3295
B 0.0000 2.3295 0.0000
```

***

Here is how they stack up, most stable first: 2, 1.

***

1:
Material: BaZr3B
Method: DFT, PBE-GGA
State: relaxed

## Properties
crystal system	cubic
total magnetization	0.00	μB per formula unit

Geometry as extended XYZ:
```
5
Lattice="4.8960 0.0000 0.0000 0.0000 4.8960 0.0000 0.0000 0.0000 4.8960" Properties=species:S:1:pos:R:3 pbc="T T T"
Zr 0.0000 0.0000 2.4480
Ba 2.4480 2.4480 2.4480
Zr 2.4480 0.0000 0.0000
B 0.0000 0.0000 0.0000
Zr 0.0000 2.4480 0.0000
```

***

2:
Material: BaZr3B
Method: DFT, PBE-GGA
State: relaxed

## Properties
crystal system	cubic
total magnetization	0.96	μB per formula unit

Geometry as extended XYZ:
```
5
Lattice="-2.8723 -4.0483 -1.7198 3.1164 -3.3225 2.6163 -3.1039 0.4103 4.2182" Properties=species:S:1:pos:R:3 pbc="T T T"
Ba 0.0000 0.0000 0.0000
Zr -1.5520 0.2052 2.1091
B -1.4299 -3.4803 2.5574
Zr -1.4361 -2.0241 -0.8599
Zr 1.5582 -1.6613 1.3082
```

***

Here is how they stack up, most stable first: 1, 2.

***

1:
Material: Be4B
Method: DFT, PBE-GGA
State: relaxed

## Properties
crystal system	tetragonal
total magnetization	0.00	μB per formula unit

Geometry as extended XYZ:
```
10
Lattice="3.3474 0.0000 0.0000 0.0000 3.3474 0.0000 0.0000 0.0000 7.0098" Properties=species:S:1:pos:R:3 pbc="T T T"
B 0.0000 1.6737 5.8291
Be 0.0000 1.6737 3.6393
B 1.6737 0.0000 1.1807
Be 1.6737 0.0000 3.3705
Be 1.6737 1.6737 4.8809
Be 0.0000 0.0000 2.1289
Be 1.6737 1.6737 0.0000
Be 0.0000 0.0000 4.8809
Be 1.6737 1.6737 2.1289
Be 0.0000 0.0000 0.0000
```

***

2:
Material: Be4B
Method: DFT, PBE-GGA
State: relaxed

## Properties
crystal system	cubic
total magnetization	0.00	μB per formula unit

Geometry as extended XYZ:
```
5
Lattice="3.5979 0.0000 0.0000 0.0000 3.5979 0.0000 0.0000 0.0000 3.5979" Properties=species:S:1:pos:R:3 pbc="T T T"
Be 1.7989 0.0000 1.7989
Be 0.0000 1.7989 1.7989
Be 1.7989 1.7989 0.0000
B 1.7989 1.7989 1.7989
Be 0.0000 0.0000 0.0000
```

***

Here is how they stack up, most stable first: 1, 2.